Entry from Alexandria via LeMat-Bulk: a relaxed structure of ZnHgIr2 (GGA-PBE).

## Properties
The calculation puts the spin magnetization at 0.00 μB per formula unit. As for the total energy: -36.46 eV per cell. For the volume, the calculation gives 16.2 Å³/atom. Its formation energy is 0.267 eV per atom.

Unit cell a=9.179 b=2.889 c=4.967 alpha=90.00 beta=100.59 gamma=90.00
Positions (direct):
Zn 0.000 0.000 0.000
Zn 0.500 0.500 0.000
Hg 0.239 0.000 0.750
Hg 0.739 0.500 0.750
Ir 0.240 0.500 0.254
Ir 0.479 0.000 0.447
Ir 0.740 0.000 0.254
Ir 0.979 0.500 0.447